The following is a PBE calculation of a relaxed Ce2ZrHg crystal, from Alexandria.

Structure (CIF):
```
data_Ce2ZrHg
_cell_length_a 4.412
_cell_length_b 4.412
_cell_length_c 5.053
_cell_angle_alpha 90.00
_cell_angle_beta 90.00
_cell_angle_gamma 90.00
_space_group_name_H-M_alt 'P 1'
_space_group_IT_number 1
loop_
_space_group_symop_operation_xyz
'x,y,z'
loop_
_atom_site_label
_atom_site_fract_x
_atom_site_fract_y
_atom_site_fract_z
Ce1 0.000 0.500 0.000
Ce2 0.500 0.000 0.000
Zr1 0.000 0.000 0.500
Hg1 0.500 0.500 0.500
```

Calculated values
ΔE_f: -69 meV/atom
SG: P4/mmm (123)
Excess energy over the best structure of this formula in the dataset: 11 meV per atom

---

The following is a PBE calculation of a relaxed PmHo2TiN4 crystal, from Alexandria.

Structure (CIF):
```
data_PmHo2TiN4
_cell_length_a 6.109
_cell_length_b 6.109
_cell_length_c 11.842
_cell_angle_alpha 90.00
_cell_angle_beta 90.00
_cell_angle_gamma 147.69
_space_group_name_H-M_alt 'P 1'
_space_group_IT_number 1
loop_
_space_group_symop_operation_xyz
'x,y,z'
loop_
_atom_site_label
_atom_site_fract_x
_atom_site_fract_y
_atom_site_fract_z
Pm1 0.099 0.901 0.750
Pm2 0.901 0.099 0.250
Ho1 0.370 0.630 0.539
Ho2 0.370 0.630 0.961
Ho3 0.630 0.370 0.039
Ho4 0.630 0.370 0.461
Ti1 0.164 0.836 0.250
Ti2 0.836 0.164 0.750
N1 0.000 0.000 0.000
N2 0.000 0.000 0.500
N3 0.263 0.737 0.124
N4 0.263 0.737 0.376
N5 0.433 0.567 0.750
N6 0.567 0.433 0.250
N7 0.737 0.263 0.624
N8 0.737 0.263 0.876
```

Calculated values
SG: Cmcm (63)
E_form (uncorrected): -34.27 kcal/mol of atoms

---

The following is a PBE calculation of a relaxed LiAg2Cl3 crystal, from Alexandria.

Structure (CIF):
```
data_LiAg2Cl3
_cell_length_a 7.211
_cell_length_b 7.211
_cell_length_c 7.152
_cell_angle_alpha 99.14
_cell_angle_beta 99.14
_cell_angle_gamma 120.85
_space_group_name_H-M_alt 'P 1'
_space_group_IT_number 1
loop_
_space_group_symop_operation_xyz
'x,y,z'
loop_
_atom_site_label
_atom_site_fract_x
_atom_site_fract_y
_atom_site_fract_z
Li1 0.081 0.919 0.500
Li2 0.919 0.081 0.000
Ag1 0.247 0.766 0.999
Ag2 0.413 0.583 0.503
Ag3 0.583 0.413 0.003
Ag4 0.766 0.247 0.499
Cl1 0.043 0.180 0.355
Cl2 0.180 0.043 0.855
Cl3 0.355 0.880 0.386
Cl4 0.560 0.731 0.888
Cl5 0.731 0.560 0.388
Cl6 0.880 0.355 0.886
```

Calculated values
SG: Cc (9)
Excess energy over the best structure of this formula in the dataset: 3 meV per atom
E_form (uncorrected): -20.79 kcal/mol of atoms

---

The following is a PBE calculation of a relaxed YEr5As6 crystal, from Alexandria.

Structure (CIF):
```
data_YEr5As6
_cell_length_a 7.083
_cell_length_b 7.083
_cell_length_c 7.081
_cell_angle_alpha 99.60
_cell_angle_beta 99.60
_cell_angle_gamma 119.98
_space_group_name_H-M_alt 'P 1'
_space_group_IT_number 1
loop_
_space_group_symop_operation_xyz
'x,y,z'
loop_
_atom_site_label
_atom_site_fract_x
_atom_site_fract_y
_atom_site_fract_z
Y1 0.000 0.000 0.000
Er1 0.166 0.834 0.500
Er2 0.333 0.667 0.000
Er3 0.500 0.500 0.500
Er4 0.667 0.333 0.000
Er5 0.834 0.166 0.500
As1 0.084 0.419 0.251
As2 0.251 0.251 0.749
As3 0.419 0.084 0.251
As4 0.581 0.916 0.749
As5 0.749 0.749 0.251
As6 0.916 0.581 0.749
```

Calculated values
ΔE_f: -1527 meV/atom
SG: C2/m (12)

---

The following is a PBE calculation of a relaxed GaSi2BrF crystal, from Alexandria.

Structure (CIF):
```
data_GaSi2BrF
_cell_length_a 4.959
_cell_length_b 4.959
_cell_length_c 4.085
_cell_angle_alpha 90.00
_cell_angle_beta 90.00
_cell_angle_gamma 90.00
_space_group_name_H-M_alt 'P 1'
_space_group_IT_number 1
loop_
_space_group_symop_operation_xyz
'x,y,z'
loop_
_atom_site_label
_atom_site_fract_x
_atom_site_fract_y
_atom_site_fract_z
Ga1 0.000 0.000 0.000
Si1 0.000 0.500 0.000
Si2 0.500 0.000 0.000
Br1 0.500 0.500 0.500
F1 0.000 0.000 0.500
```

Calculated values
SG: P4/mmm (123)
E_form (uncorrected): -1.06 kcal/mol of atoms

---

The following is a PBE calculation of a relaxed Dy6CdNi crystal, from Alexandria.

Structure (CIF):
```
data_Dy6CdNi
_cell_length_a 6.894
_cell_length_b 6.908
_cell_length_c 7.216
_cell_angle_alpha 90.16
_cell_angle_beta 118.34
_cell_angle_gamma 119.88
_space_group_name_H-M_alt 'P 1'
_space_group_IT_number 1
loop_
_space_group_symop_operation_xyz
'x,y,z'
loop_
_atom_site_label
_atom_site_fract_x
_atom_site_fract_y
_atom_site_fract_z
Dy1 0.045 0.081 0.259
Dy2 0.294 0.713 0.258
Dy3 0.320 0.535 0.742
Dy4 0.680 0.465 0.258
Dy5 0.706 0.287 0.742
Dy6 0.955 0.919 0.741
Cd1 0.500 0.000 0.000
Ni1 0.500 0.500 0.500
```

Calculated values
ΔE_f: 65 meV/atom
SG: P-1 (2)